Entry 1:
First-principles (PBE) data for a geometry-optimized Mg2In2Bi structure, as listed in Alexandria via LeMat-Bulk.

As for the energy relative to the lowest polymorph listed for this composition: 0.08 eV/f.u. As for the energy of formation: -0.034 eV/atom. The calculation puts the density of states at the Fermi level at 3.5 states/eV/cell.

Cell lengths 8.8776, 8.8776, 3.2778 Å; angles 90.00, 90.00, 90.00 degrees
With the nearest neighbours (Å) after each atom.
Atoms (fractional coordinates):
Mg  0.1737  0.3263  0.0000  6 In 3.01-3.15, 2 Mg 3.28
Mg  0.3263  0.8263  0.0000  6 In 3.01-3.15, 2 Mg 3.28
Mg  0.6737  0.1737  0.0000  6 In 3.01-3.15, 2 Mg 3.28
Mg  0.8263  0.6737  0.0000  6 In 3.01-3.15, 2 Mg 3.28
In  0.1255  0.6255  0.5000  6 Mg 3.01-3.15, 3 In 3.15-3.28
In  0.3745  0.1255  0.5000  6 Mg 3.01-3.15, 3 In 3.15-3.28
In  0.6255  0.8745  0.5000  6 Mg 3.01-3.15, 3 In 3.15-3.28
In  0.8745  0.3745  0.5000  6 Mg 3.01-3.15, 3 In 3.15-3.28
Bi  0.0000  0.0000  0.5000  2 Bi 3.28, 4 In 3.51, 8 Mg 3.67
Bi  0.5000  0.5000  0.5000  2 Bi 3.28, 4 In 3.51, 8 Mg 3.67

---

Entry 2:
First-principles (PBE) data for a geometry-optimized CsSb2H2 structure, as listed in Alexandria via LeMat-Bulk.

As for the energy relative to the lowest polymorph listed for this composition: 0.45 eV/f.u. The calculation puts the density of states at the Fermi level at 0.3 states/eV/cell.

Cell lengths 4.5446, 5.1330, 6.4393 Å; angles 85.32, 88.72, 83.11 degrees
With the nearest neighbours (Å) after each atom.
Atoms (fractional coordinates):
Cs  0.0000  0.0000  0.0000  2 H 2.94-2.97
Sb  0.4608  0.1352  0.4837  1 H 2.01
Sb  0.9465  0.5323  0.5053  1 H 1.77
H  0.2070  0.8384  0.5151  2 Sb 2.01-2.08
H  0.9209  0.5349  0.7792  1 Sb 1.77

---

Entry 3:
First-principles (PBE) data for a geometry-optimized KZnBF6 structure, as listed in Alexandria via LeMat-Bulk.

The uncorrected formation energy is -2.65 eV per atom. The calculation puts the density of states at the Fermi level at 0.0 states/eV/cell.

Cell lengths 4.8178, 5.7130, 5.9078 Å; angles 87.71, 65.99, 84.17 degrees
With the nearest neighbours (Å) after each atom.
Atoms (fractional coordinates):
K  0.0000  0.0000  0.0000  4 F 2.60-2.77
Zn  0.6883  0.4997  0.6238  2 F 1.81
B  0.4014  0.5000  0.1977  4 F 1.42
F  0.1311  0.6405  0.3438  1 B 1.42
F  0.3321  0.3518  0.0440  1 B 1.42
F  0.4544  0.7741  0.6447  1 Zn 1.81
F  0.5256  0.3589  0.3436  1 B 1.42
F  0.6242  0.6483  0.0452  1 B 1.42
F  0.9027  0.2256  0.6438  1 Zn 1.81